The following is a DFT calculation (meta-GGA SCAN) of Li3V2CrO6 at its PBEsol-relaxed geometry.

Lattice parameters (Å, degrees): 6.569 6.569 5.813 106.58 106.58 24.57
Element x y z (fractional)
1 Li 0.000 0.000 0.000
2 Li 0.337 0.337 0.653
3 Li 0.663 0.663 0.347
4 V 0.321 0.321 0.135
5 V 0.679 0.679 0.865
6 Cr 0.000 0.000 0.500
7 O 0.162 0.162 0.092
8 O 0.162 0.162 0.608
9 O 0.490 0.490 0.260
10 O 0.510 0.510 0.740
11 O 0.838 0.838 0.392
12 O 0.838 0.838 0.908

Summary:
The size of the total moment comes out at 3.8 μB per cell. The calculation puts the calculated total energy at -10.669 eV per atom.

=====

The following is a DFT calculation (meta-GGA SCAN) of Li4V3CrO8 at its PBEsol-relaxed geometry.

Lattice parameters (Å, degrees): 5.851 5.851 5.851 58.92 58.92 58.92
Element x y z (fractional)
1 Li 0.000 0.000 0.000
2 Li 0.000 0.500 0.500
3 Li 0.500 0.000 0.500
4 Li 0.500 0.500 0.000
5 V 0.000 0.000 0.500
6 V 0.000 0.500 0.000
7 V 0.500 0.000 0.000
8 Cr 0.500 0.500 0.500
9 O 0.246 0.246 0.246
10 O 0.246 0.742 0.742
11 O 0.258 0.258 0.754
12 O 0.258 0.754 0.258
13 O 0.742 0.246 0.742
14 O 0.742 0.742 0.246
15 O 0.754 0.258 0.258
16 O 0.754 0.754 0.754

Summary:
The size of the total moment comes out at 9.0 μB per cell. The calculation puts the calculated total energy at -10.682 eV per atom. As for the polymorph energy (0 for the lowest one): 0 meV per atom.

=====

The following is a DFT calculation (meta-GGA SCAN) of Li2VCr2O6 at its PBEsol-relaxed geometry.

Lattice parameters (Å, degrees): 7.611 7.611 5.873 103.23 103.23 68.63
Element x y z (fractional)
1 Li 0.164 0.500 0.671
2 Li 0.170 0.830 0.000
3 Li 0.500 0.164 0.671
4 Li 0.500 0.836 0.329
5 Li 0.830 0.170 0.000
6 Li 0.836 0.500 0.329
7 V 0.147 0.853 0.500
8 V 0.500 0.500 0.500
9 V 0.853 0.147 0.500
10 Cr 0.160 0.160 0.819
11 Cr 0.171 0.498 0.170
12 Cr 0.498 0.171 0.170
13 Cr 0.502 0.829 0.830
14 Cr 0.829 0.502 0.830
15 Cr 0.840 0.840 0.181
16 O 0.001 0.001 0.251
17 O 0.002 0.343 0.052
18 O 0.010 0.667 0.402
19 O 0.321 0.321 0.935
20 O 0.324 0.667 0.277
21 O 0.333 0.676 0.723
22 O 0.333 0.990 0.598
23 O 0.343 0.002 0.052
24 O 0.343 0.343 0.413
25 O 0.657 0.657 0.587
26 O 0.657 0.998 0.948
27 O 0.667 0.010 0.402
28 O 0.667 0.324 0.277
29 O 0.676 0.333 0.723
30 O 0.679 0.679 0.065
31 O 0.990 0.333 0.598
32 O 0.998 0.657 0.948
33 O 0.999 0.999 0.749

Summary:
The size of the total moment comes out at 15.9 μB per cell. The calculation puts the calculated total energy at -11.244 eV per atom. As for the polymorph energy (0 for the lowest one): 0 meV per atom.